Record 1
First-principles (PBE-GGA) data for a relaxed NdSnAs crystal, as listed in OQMD.

Geometry as POSCAR:
```
NdSnAs
1.0
0.000 3.597 3.597
3.597 0.000 3.597
3.597 3.597 0.000
As Nd Sn
1 1 1
Direct
0.250 0.250 0.250
0.000 0.000 0.000
0.750 0.750 0.750
```

Results
V: 31.02 Å³/atom
Electronic total energy: -4.70 eV/atom



Record 2
First-principles (PBE-GGA) data for a relaxed TbHoAs2Pt2 crystal, as listed in OQMD.

Geometry as POSCAR:
```
TbHoAs2Pt2
1.0
4.297 0.000 0.000
-2.149 3.721 0.000
0.000 0.000 15.206
Tb As Ho Pt
2 4 2 4
Direct
0.000 0.000 0.000
0.000 0.000 0.500
0.667 0.333 0.616
0.667 0.333 0.884
0.333 0.667 0.116
0.333 0.667 0.384
0.000 0.000 0.750
0.000 0.000 0.250
0.667 0.333 0.139
0.667 0.333 0.361
0.333 0.667 0.639
0.333 0.667 0.861
```

Results
Relative energy among the computed polymorphs: 0.000 eV/atom
V: 20.26 Å³/atom